Entry 1:
SnBiMo | PBE | optimized geometry

a = 6.686 Å, b = 3.323 Å, c = 6.755 Å
α = 90.00°, β = 98.70°, γ = 90.00°
Atoms (fractional coordinates):
Sn 0.127 0.250 0.358
Sn 0.873 0.750 0.642
Bi 0.405 0.250 0.778
Bi 0.595 0.750 0.222
Mo 0.146 0.750 0.017
Mo 0.854 0.250 0.983

Distance to the lowest polymorph of the same formula   60 meV per atom
Total magnetic moment   0.00 μB per formula unit
Energy of formation   0.255 eV per atom
Space group   P2_1/m (11)

=====

Entry 2:
ZnRe2Cl | PBE | optimized geometry

a = 5.135 Å, b = 9.342 Å, c = 2.686 Å
α = 90.00°, β = 90.00°, γ = 90.00°
Atoms (fractional coordinates):
Zn 0.000 0.000 0.000
Zn 0.500 0.500 0.000
Re 0.250 0.250 0.500
Re 0.250 0.750 0.500
Re 0.750 0.250 0.500
Re 0.750 0.750 0.500
Cl 0.000 0.500 0.000
Cl 0.500 0.000 0.000

ΔE_f (raw)   1.21 eV per atom
Distance to the lowest polymorph of the same formula   1141 meV per atom
Total magnetic moment   0.00 μB per formula unit
Space group   Cmmm (65)

=====

Entry 3:
Y5HoTm3 | PBE | optimized geometry

a = 8.687 Å, b = 8.687 Å, c = 11.645 Å
α = 106.67°, β = 106.67°, γ = 44.97°
Atoms (fractional coordinates):
Y 0.088 0.479 0.734
Y 0.128 0.239 0.950
Y 0.202 0.798 0.750
Y 0.239 0.128 0.450
Y 0.479 0.088 0.234
Y 0.521 0.912 0.766
Y 0.761 0.872 0.550
Y 0.798 0.202 0.250
Y 0.872 0.761 0.050
Y 0.912 0.521 0.266
Ho 0.305 0.695 0.250
Ho 0.695 0.305 0.750
Tm 0.000 0.000 0.000
Tm 0.000 0.000 0.500
Tm 0.341 0.445 0.486
Tm 0.445 0.341 0.986
Tm 0.555 0.659 0.014
Tm 0.659 0.555 0.514

Distance to the lowest polymorph of the same formula   0 meV per atom
Total magnetic moment   0.00 μB per formula unit
Energy of formation   0.219 eV per atom
Space group   C2/c (15)

=====

Entry 4:
Sc3BeAg | PBE | optimized geometry

a = 4.819 Å, b = 4.819 Å, c = 4.819 Å
α = 90.00°, β = 90.00°, γ = 90.00°
Atoms (fractional coordinates):
Sc 0.000 0.000 0.500
Sc 0.000 0.500 0.000
Sc 0.500 0.000 0.000
Be 0.000 0.000 0.000
Ag 0.500 0.500 0.500

Distance to the lowest polymorph of the same formula   0 meV per atom
Total magnetic moment   0.00 μB per formula unit
Energy of formation   0.269 eV per atom
Space group   Pm-3m (221)

=====

Entry 5:
SrTlHg2 | PBE | optimized geometry

a = 7.726 Å, b = 7.726 Å, c = 7.726 Å
α = 90.00°, β = 90.00°, γ = 90.00°
Atoms (fractional coordinates):
Sr 0.000 0.000 0.000
Sr 0.000 0.500 0.500
Sr 0.500 0.000 0.500
Sr 0.500 0.500 0.000
Tl 0.000 0.000 0.500
Tl 0.000 0.500 0.000
Tl 0.500 0.000 0.000
Tl 0.500 0.500 0.500
Hg 0.250 0.250 0.250
Hg 0.250 0.250 0.750
Hg 0.250 0.750 0.250
Hg 0.250 0.750 0.750
Hg 0.750 0.250 0.250
Hg 0.750 0.250 0.750
Hg 0.750 0.750 0.250
Hg 0.750 0.750 0.750

Distance to the lowest polymorph of the same formula   0 meV per atom
Total magnetic moment   0.00 μB per formula unit
Energy of formation   -0.375 eV per atom
Space group   Fm-3m (225)

=====

Entry 6:
Ni2HgAs | PBE | optimized geometry

a = 3.726 Å, b = 3.726 Å, c = 8.682 Å
α = 90.00°, β = 90.00°, γ = 90.00°
Atoms (fractional coordinates):
Ni 0.000 0.000 0.000
Ni 0.000 0.500 0.250
Ni 0.500 0.000 0.750
Ni 0.500 0.500 0.500
Hg 0.000 0.000 0.500
Hg 0.500 0.500 0.000
As 0.000 0.500 0.750
As 0.500 0.000 0.250

Total magnetic moment   0.00 μB per formula unit
Energy of formation   0.234 eV per atom
Space group   I-4m2 (119)

=====

Entry 7:
PaInCl5 | PBE | optimized geometry

a = 7.665 Å, b = 7.665 Å, c = 10.750 Å
α = 110.06°, β = 110.06°, γ = 70.64°
Atoms (fractional coordinates):
Pa 0.000 0.000 0.000
Pa 0.000 0.000 0.500
In 0.474 0.526 0.750
In 0.526 0.474 0.250
Cl 0.074 0.926 0.750
Cl 0.154 0.290 0.622
Cl 0.233 0.663 0.015
Cl 0.290 0.154 0.122
Cl 0.337 0.767 0.485
Cl 0.663 0.233 0.515
Cl 0.710 0.846 0.878
Cl 0.767 0.337 0.985
Cl 0.846 0.710 0.378
Cl 0.926 0.074 0.250

ΔE_f (raw)   -1.58 eV per atom
Total magnetic moment   1.00 μB per formula unit
Space group   C2/c (15)

=====

Entry 8:
Cs3Rb3Na | PBE | optimized geometry

a = 12.802 Å, b = 12.802 Å, c = 12.802 Å
α = 90.00°, β = 90.00°, γ = 90.00°
Atoms (fractional coordinates):
Cs 0.000 0.250 0.500
Cs 0.000 0.750 0.500
Cs 0.250 0.500 0.000
Cs 0.500 0.000 0.250
Cs 0.500 0.000 0.750
Cs 0.750 0.500 0.000
Rb 0.000 0.500 0.250
Rb 0.000 0.500 0.750
Rb 0.250 0.000 0.500
Rb 0.500 0.250 0.000
Rb 0.500 0.750 0.000
Rb 0.750 0.000 0.500
Na 0.000 0.000 0.000
Na 0.500 0.500 0.500

Distance to the lowest polymorph of the same formula   329 meV per atom
Total magnetic moment   0.00 μB per formula unit
Energy of formation   0.350 eV per atom
Space group   Pm-3n (223)

=====

Entry 9:
PrHf2Sc6 | PBE | optimized geometry

a = 3.299 Å, b = 3.299 Å, c = 24.094 Å
α = 90.00°, β = 90.00°, γ = 120.00°
Atoms (fractional coordinates):
Pr 0.000 0.000 0.000
Hf 0.667 0.333 0.335
Hf 0.667 0.333 0.665
Sc 0.000 0.000 0.231
Sc 0.000 0.000 0.437
Sc 0.000 0.000 0.563
Sc 0.000 0.000 0.769
Sc 0.667 0.333 0.122
Sc 0.667 0.333 0.878

Total magnetic moment   1.92 μB per formula unit
Energy of formation   0.075 eV per atom
Space group   P-6m2 (187)

=====

Entry 10:
Ce2CdSn | PBE | optimized geometry

a = 4.150 Å, b = 4.150 Å, c = 6.445 Å
α = 90.00°, β = 90.00°, γ = 90.00°
Atoms (fractional coordinates):
Ce 0.000 0.000 0.219
Ce 0.000 0.000 0.781
Cd 0.500 0.500 0.500
Sn 0.500 0.500 0.000

Total magnetic moment   1.99 μB per formula unit
Energy of formation   -0.394 eV per atom
Space group   P4/mmm (123)

=====

Entry 11:
Ge2PdN | PBE | optimized geometry

a = 5.541 Å, b = 5.541 Å, c = 8.474 Å
α = 90.00°, β = 90.00°, γ = 90.00°
Atoms (fractional coordinates):
Ge 0.189 0.250 0.125
Ge 0.250 0.689 0.375
Ge 0.250 0.811 0.875
Ge 0.311 0.250 0.625
Ge 0.689 0.750 0.625
Ge 0.750 0.189 0.875
Ge 0.750 0.311 0.375
Ge 0.811 0.750 0.125
Pd 0.000 0.000 0.500
Pd 0.000 0.500 0.750
Pd 0.500 0.000 0.250
Pd 0.500 0.500 0.000
N 0.000 0.000 0.000
N 0.000 0.500 0.250
N 0.500 0.000 0.750
N 0.500 0.500 0.500

ΔE_f (raw)   0.10 eV per atom
Total magnetic moment   0.00 μB per formula unit
Space group   I-42d (122)

=====

Entry 12:
Mg2ZrMn | PBE | optimized geometry

a = 3.950 Å, b = 3.950 Å, c = 21.416 Å
α = 90.00°, β = 90.00°, γ = 90.00°
Atoms (fractional coordinates):
Mg 0.243 0.250 0.125
Mg 0.250 0.743 0.375
Mg 0.250 0.757 0.875
Mg 0.257 0.250 0.625
Mg 0.743 0.750 0.625
Mg 0.750 0.243 0.875
Mg 0.750 0.257 0.375
Mg 0.757 0.750 0.125
Zr 0.000 0.000 0.500
Zr 0.000 0.500 0.750
Zr 0.500 0.000 0.250
Zr 0.500 0.500 0.000
Mn 0.000 0.000 0.000
Mn 0.000 0.500 0.250
Mn 0.500 0.000 0.750
Mn 0.500 0.500 0.500

Total magnetic moment   2.20 μB per formula unit
Energy of formation   0.489 eV per atom
Space group   I-42d (122)